[1]
DFT (PBE-GGA) results for BeB3H after structural relaxation.

Cell: 3.077 3.077 3.077 Å, 90.00 90.00 90.00°
Positions (direct):
Be 0.000 0.000 0.000
B 0.000 0.500 0.500
B 0.500 0.000 0.500
B 0.500 0.500 0.000
H 0.500 0.500 0.500

## Properties
* symmetry: Pm-3m
* final energy: -0.3029 Ry/atom



[2]
DFT (PBE-GGA) results for PrHo3Th4Se8 after structural relaxation.

Cell: 8.501 8.501 8.501 Å, 57.18 57.18 57.18°
Positions (direct):
Pr 0.000 0.000 0.000
Ho 0.000 0.500 0.500
Ho 0.500 0.000 0.500
Ho 0.500 0.500 0.000
Th 0.000 0.000 0.500
Th 0.000 0.500 0.000
Th 0.500 0.000 0.000
Th 0.500 0.500 0.500
Se 0.250 0.250 0.738
Se 0.250 0.738 0.250
Se 0.256 0.256 0.256
Se 0.262 0.750 0.750
Se 0.738 0.250 0.250
Se 0.744 0.744 0.744
Se 0.750 0.262 0.750
Se 0.750 0.750 0.262

## Properties
* symmetry: R-3m
* final energy: -0.4700 Ry/atom



[3]
DFT (PBE-GGA) results for Ag2PbSe after structural relaxation.

Cell: 5.885 5.885 5.885 Å, 137.94 137.94 61.00°
Positions (direct):
Ag 0.000 0.000 0.000
Ag 0.750 0.250 0.500
Pb 0.250 0.750 0.500
Se 0.500 0.500 0.000

## Properties
* symmetry: I-4m2
* final energy: -0.2308 Ry/atom



[4]
DFT (PBE-GGA) results for Gd2MgC after structural relaxation.

Cell: 9.748 9.748 9.748 Å, 20.99 20.99 20.99°
Positions (direct):
Gd 0.119 0.119 0.119
Gd 0.881 0.881 0.881
Mg 0.000 0.000 0.000
C 0.500 0.500 0.500

## Properties
* energy of formation from the pure elements: -0.06 eV/atom
* symmetry: R-3m
* final energy: -0.7204 Ry/atom



[5]
DFT (PBE-GGA) results for Tb6SmY2Ho after structural relaxation.

Cell: 8.819 8.819 9.500 Å, 93.34 93.34 117.38°
Positions (direct):
Tb 0.015 0.564 0.185
Tb 0.121 0.754 0.557
Tb 0.246 0.879 0.943
Tb 0.292 0.513 0.382
Tb 0.436 0.985 0.315
Tb 0.487 0.708 0.118
Tb 0.513 0.292 0.882
Tb 0.564 0.015 0.685
Tb 0.708 0.487 0.618
Tb 0.754 0.121 0.057
Tb 0.879 0.246 0.443
Tb 0.985 0.436 0.815
Sm 0.028 0.972 0.250
Sm 0.972 0.028 0.750
Y 0.201 0.302 0.047
Y 0.302 0.201 0.547
Y 0.698 0.799 0.453
Y 0.799 0.698 0.953
Ho 0.410 0.590 0.750
Ho 0.590 0.410 0.250

## Properties
* energy of formation from the pure elements: 0.12 eV/atom
* symmetry: C2/c
* final energy: -0.3585 Ry/atom



[6]
DFT (PBE-GGA) results for Pm3Al3Cu2 after structural relaxation.

Cell: 5.660 5.660 15.037 Å, 90.00 90.00 132.90°
Positions (direct):
Pm 0.097 0.903 0.611
Pm 0.097 0.903 0.889
Pm 0.389 0.611 0.750
Pm 0.611 0.389 0.250
Pm 0.903 0.097 0.111
Pm 0.903 0.097 0.389
Al 0.313 0.687 0.250
Al 0.380 0.620 0.536
Al 0.380 0.620 0.964
Al 0.620 0.380 0.036
Al 0.620 0.380 0.464
Al 0.687 0.313 0.750
Cu 0.200 0.800 0.098
Cu 0.200 0.800 0.402
Cu 0.800 0.200 0.598
Cu 0.800 0.200 0.902

## Properties
* energy of formation from the pure elements: -0.37 eV/atom
* symmetry: Cmcm
* final energy: -0.3365 Ry/atom



[7]
DFT (PBE-GGA) results for Y2PCl after structural relaxation.

Cell: 7.351 7.351 7.351 Å, 31.23 31.23 31.23°
Positions (direct):
Y 0.000 0.000 0.000
Y 0.195 0.195 0.195
P 0.600 0.600 0.600
Cl 0.429 0.429 0.429

## Properties
* symmetry: R3m
* final energy: -0.4833 Ry/atom



[8]
DFT (PBE-GGA) results for Dy3Ho6ErSc2 after structural relaxation.

Cell: 6.040 6.040 11.525 Å, 95.01 95.01 119.95°
Positions (direct):
Dy 0.000 0.000 0.000
Dy 0.333 0.667 0.000
Dy 0.667 0.333 0.000
Ho 0.083 0.418 0.256
Ho 0.246 0.246 0.744
Ho 0.418 0.083 0.256
Ho 0.582 0.917 0.744
Ho 0.754 0.754 0.256
Ho 0.917 0.582 0.744
Er 0.500 0.500 0.500
Sc 0.167 0.833 0.500
Sc 0.833 0.167 0.500

## Properties
* energy of formation from the pure elements: 0.04 eV/atom
* symmetry: C2/m
* final energy: -0.3556 Ry/atom